The following is a DFT calculation (PBE-GGA) of crystalline Sm2Ge4Ir3 at its relaxed geometry. Values from VASP.

Output
Volume, A^3/atom: 18.2
Energy relative to the elements, eV per atom: -0.735
Distance to the lowest polymorph of the same formula, meV per atom: 0
Total energy, eV/atom: -6.7898
N(E_F), states/eV per cell: 8.446
Crystal system: orthorhombic
ρ, g/cm³: 11.87

The structure in Quantum ESPRESSO input format:
```
&SYSTEM
  ibrav = 0, nat = 18, ntyp = 3
/
ATOMIC_SPECIES
Sm 150.36 Sm.upf
Ge 72.64 Ge.upf
Ir 192.22 Ir.upf
CELL_PARAMETERS angstrom
2.881 -7.556 0.000
2.881 7.556 0.000
0.000 0.000 7.505
ATOMIC_POSITIONS angstrom
Sm 2.881 5.888 6.826
Sm 2.881 1.668 3.073
Sm 2.881 -1.668 4.432
Sm 2.881 -5.888 0.679
Ge 2.881 4.796 3.959
Ge 1.441 0.884 5.629
Ge 1.441 -0.884 1.876
Ge 2.881 2.760 0.207
Ge 2.881 -2.760 7.298
Ge 4.322 0.884 5.629
Ge 4.322 -0.884 1.876
Ge 2.881 -4.796 3.546
Ir 0.000 0.000 3.753
Ir 1.441 3.399 5.629
Ir 1.441 -3.399 1.876
Ir 2.881 0.000 0.000
Ir 4.322 3.399 5.629
Ir 4.322 -3.399 1.876
```